No. 1
# Na5HgF6

A relaxed structure of Na5HgF6 (PBE-GGA, Alexandria via LeMat-Bulk).

a = 5.9367 Å, b = 5.9367 Å, c = 5.9360 Å
α = 99.85°, β = 99.85°, γ = 119.79°
Last column: nearest neighbours and their distance in Å.
Fractional coordinates of all 12 atoms:
Na 0.0000 0.0000 0.0000  6 F 2.26-2.45
Na 0.1673 0.8327 0.5000  6 F 2.39-2.43
Na 0.3367 0.6633 0.0000  6 F 2.28-2.48
Na 0.6633 0.3367 0.0000  6 F 2.28-2.48
Na 0.8327 0.1673 0.5000  6 F 2.39-2.43
Hg 0.5000 0.5000 0.5000  6 F 2.57-2.61
F 0.0533 0.4118 0.2403  5 Na 2.28-2.48
F 0.2324 0.2324 0.7685  5 Na 2.26-2.43
F 0.4118 0.0533 0.2403  5 Na 2.28-2.48
F 0.5882 0.9467 0.7597  5 Na 2.28-2.48
F 0.7676 0.7676 0.2315  5 Na 2.26-2.43
F 0.9467 0.5882 0.7597  5 Na 2.28-2.48

Computed properties:
Total energy: -3.875 eV/atom
Formation energy from raw total energies: -2738 kJ/mol of formula units
DOS(E_F): 3.71 states/eV/f.u.

=====

No. 2
# Na2HgF8

A relaxed structure of Na2HgF8 (PBE-GGA, Alexandria via LeMat-Bulk).

a = 7.0199 Å, b = 7.0199 Å, c = 5.9350 Å
α = 107.07°, β = 107.07°, γ = 34.77°
Last column: nearest neighbours and their distance in Å.
Fractional coordinates of all 11 atoms:
Na 0.1468 0.1468 0.0267  6 F 2.28-2.50
Na 0.8532 0.8532 0.9733  6 F 2.28-2.50
Hg 0.5000 0.5000 0.5000  2 F 2.07
F 0.0467 0.0467 0.2746  1 F 1.86
F 0.1657 0.1657 0.5378  1 F 1.64
F 0.2659 0.2659 0.7806  1 F 1.64
F 0.3896 0.3896 0.1672  1 Hg 2.07
F 0.6104 0.6104 0.8328  1 Hg 2.07
F 0.7341 0.7341 0.2194  1 F 1.64
F 0.8343 0.8343 0.4622  1 F 1.64
F 0.9533 0.9533 0.7254  1 F 1.86

Computed properties:
Total energy: -3.022 eV/atom
Formation energy from raw total energies: -1479 kJ/mol of formula units

=====

No. 3
# NaHg3F6

A relaxed structure of NaHg3F6 (PBE-GGA, Alexandria via LeMat-Bulk).

a = 7.0312 Å, b = 7.0312 Å, c = 7.0312 Å
α = 92.06°, β = 92.06°, γ = 92.06°
Last column: nearest neighbours and their distance in Å.
Fractional coordinates of all 20 atoms:
Na 0.0000 0.0000 0.0000  6 F 2.31
Na 0.5000 0.5000 0.5000  6 F 2.36
Hg 0.0634 0.7529 0.5696  6 F 2.37-2.47
Hg 0.2471 0.4304 0.9366  6 F 2.37-2.47
Hg 0.4304 0.9366 0.2471  6 F 2.37-2.47
Hg 0.5696 0.0634 0.7529  6 F 2.37-2.47
Hg 0.7529 0.5696 0.0634  6 F 2.37-2.47
Hg 0.9366 0.2471 0.4304  6 F 2.37-2.47
F 0.0337 0.6857 0.9024  1 Na 2.31, 3 Hg 2.39-2.44
F 0.0976 0.9663 0.3143  1 Na 2.31, 3 Hg 2.39-2.44
F 0.1871 0.4297 0.5923  1 Na 2.36, 3 Hg 2.37-2.47
F 0.3143 0.0976 0.9663  1 Na 2.31, 3 Hg 2.39-2.44
F 0.4077 0.8129 0.5703  1 Na 2.36, 3 Hg 2.37-2.47
F 0.4297 0.5923 0.1871  1 Na 2.36, 3 Hg 2.37-2.47
F 0.5703 0.4077 0.8129  1 Na 2.36, 3 Hg 2.37-2.47
F 0.5923 0.1871 0.4297  1 Na 2.36, 3 Hg 2.37-2.47
F 0.6857 0.9024 0.0337  1 Na 2.31, 3 Hg 2.39-2.44
F 0.8129 0.5703 0.4077  1 Na 2.36, 3 Hg 2.37-2.47
F 0.9024 0.0337 0.6857  1 Na 2.31, 3 Hg 2.39-2.44
F 0.9663 0.3143 0.0976  1 Na 2.31, 3 Hg 2.39-2.44

Computed properties:
ΔE to the lowest computed polymorph: 0 meV/atom
Total energy: -2.937 eV/atom
Formation energy from raw total energies: -1536 kJ/mol of formula units
DOS(E_F): 2.04 states/eV/f.u.